The following is a PBEsol calculation of a geometry-optimized FeAsAu2 structure, from Alexandria.

Properties
Energy relative to the elements ... 0.191 eV per atom
Density ... 13.445 g cm⁻³

abc: 2.7932 2.7932 8.3061
angles: 90.00 90.00 90.00
With the nearest neighbours (Å) after each atom.
Element x y z (fractional)
Au1 0.0000 0.0000 0.7774  4 Fe 2.71, 4 Au 2.79
Au2 0.0000 0.0000 0.2226  4 Fe 2.71, 4 Au 2.79
Fe1 0.5000 0.5000 0.0000  8 Au 2.71, 4 Fe 2.79
As1 0.5000 0.5000 0.5000  4 As 2.79, 8 Au 3.04